## ScTlTe2 (PBE)

Data for a relaxed structure of ScTlTe2.

Properties
Symmetry: C2/m
M_tot: 0.00 μB/atom
ΔE_f (raw): -415 meV/atom

Cell and atoms, written as POSCAR:
```
ScTlTe2
1.0
7.606 0.000 0.000
0.000 7.751 0.000
-0.529 0.000 3.827
Sc Tl Te
2 2 4
Cartesian
0.000 0.000 0.000
3.803 3.875 0.000
0.000 3.875 0.000
3.803 0.000 0.000
1.637 1.938 1.913
1.637 5.813 1.913
5.440 1.938 1.913
5.440 5.813 1.913
```